No. 1
Below is an optimized crystal structure of La2TePd, with properties calculated at the PBE level.

Cell lengths 12.179, 12.179, 4.772 Å; angles 90.00, 90.00, 160.10 degrees
Positions (direct):
La (0.057, 0.943, 0.750)
La (0.327, 0.673, 0.750)
La (0.673, 0.327, 0.250)
La (0.943, 0.057, 0.250)
Te (0.191, 0.809, 0.750)
Te (0.809, 0.191, 0.250)
Pd (0.460, 0.540, 0.750)
Pd (0.540, 0.460, 0.250)

Results
Space-group type ... Cmcm (63)
Crystal system ... orthorhombic
Final energy ... -45.5 eV per cell
Energy relative to the elements, uncorrected ... -1.138 eV/atom

---

No. 2
Below is an optimized crystal structure of LaTePd, with properties calculated at the PBE level.

Cell lengths 4.606, 4.606, 4.179 Å; angles 90.00, 90.00, 120.00 degrees
Positions (direct):
La (0.000, 0.000, 0.000)
Te (0.667, 0.333, 0.500)
Pd (0.333, 0.667, 0.499)

Results
Space-group type ... P3m1 (156)
Crystal system ... trigonal
Final energy ... -16.8 eV per cell
Energy relative to the elements, uncorrected ... -1.167 eV/atom

---

No. 3
Below is an optimized crystal structure of LaTePd, with properties calculated at the PBE level.

Cell lengths 9.038, 9.038, 4.384 Å; angles 90.00, 90.00, 90.00 degrees
Positions (direct):
La (0.064, 0.710, 0.000)
La (0.290, 0.064, 0.500)
La (0.710, 0.936, 0.500)
La (0.936, 0.290, 0.000)
Te (0.182, 0.415, 0.500)
Te (0.415, 0.818, 0.000)
Te (0.585, 0.182, 0.000)
Te (0.818, 0.585, 0.500)
Pd (0.293, 0.689, 0.500)
Pd (0.311, 0.293, 0.000)
Pd (0.689, 0.707, 0.000)
Pd (0.707, 0.311, 0.500)

Results
Space-group type ... P4_2/m (84)
Crystal system ... tetragonal
Final energy ... -63.1 eV per cell
Energy relative to the elements, uncorrected ... -0.836 eV/atom

---

No. 4
Below is an optimized crystal structure of La2TePd, with properties calculated at the PBE level.

Cell lengths 8.255, 8.255, 8.255 Å; angles 30.31, 30.31, 30.31 degrees
Positions (direct):
La (0.000, 0.000, 0.000)
La (0.190, 0.190, 0.190)
Te (0.428, 0.428, 0.428)
Pd (0.596, 0.596, 0.596)

Results
Space-group type ... R3m (160)
Crystal system ... trigonal
Final energy ... -22.6 eV per cell
Energy relative to the elements, uncorrected ... -1.106 eV/atom

---

No. 5
Below is an optimized crystal structure of La5Te4Pd, with properties calculated at the PBE level.

Cell lengths 16.251, 16.251, 16.251 Å; angles 163.90, 163.90, 22.85 degrees
Positions (direct):
La (0.000, 0.000, 0.000)
La (0.203, 0.203, 0.000)
La (0.408, 0.408, 0.000)
La (0.592, 0.592, 0.000)
La (0.797, 0.797, 0.000)
Te (0.101, 0.101, 0.000)
Te (0.305, 0.305, 0.000)
Te (0.695, 0.695, 0.000)
Te (0.899, 0.899, 0.000)
Pd (0.500, 0.500, 0.000)

Results
Space-group type ... I4/mmm (139)
Crystal system ... tetragonal
Final energy ... -56.3 eV per cell
Energy relative to the elements, uncorrected ... -1.389 eV/atom

---

No. 6
Below is an optimized crystal structure of La2Te2Pd, with properties calculated at the PBE level.

Cell lengths 8.317, 8.317, 4.440 Å; angles 90.00, 90.00, 90.00 degrees
Positions (direct):
La (0.165, 0.335, 0.000)
La (0.335, 0.835, 0.000)
La (0.665, 0.165, 0.000)
La (0.835, 0.665, 0.000)
Te (0.147, 0.647, 0.500)
Te (0.353, 0.147, 0.500)
Te (0.647, 0.853, 0.500)
Te (0.853, 0.353, 0.500)
Pd (0.000, 0.000, 0.000)
Pd (0.500, 0.500, 0.000)

Results
Space-group type ... P4/mbm (127)
Crystal system ... tetragonal
Final energy ... -53.6 eV per cell
ΔE to the lowest computed polymorph ... 0 meV/atom
Energy relative to the elements, uncorrected ... -1.096 eV/atom